[1]
An optimized crystal structure of BaTaZn2O6, computed with GGA-PBE.

Output
Space group   C2/c
Uncorrected formation energy   -1.994 eV/atom
D(E_F)   0.05 states/eV/atom
VASP energy   -132.0 eV per cell
Magnetization   0.10 μB per atom

Cell lengths 6.8532, 7.5930, 7.5930 Å; angles 102.45, 71.70, 71.70 degrees
Fractional coordinates of all 20 atoms:
Ba 0.2500 0.8807 0.1193
Ba 0.7500 0.1193 0.8807
Ta 0.2500 0.1899 0.8101
Ta 0.7500 0.8101 0.1899
Zn 0.3472 0.6938 0.5472
Zn 0.1528 0.4528 0.3062
Zn 0.6528 0.3062 0.4528
Zn 0.8472 0.5472 0.6938
O 0.2053 0.9562 0.7852
O 0.2947 0.2148 0.0438
O 0.7947 0.0438 0.2148
O 0.7053 0.7852 0.9562
O 0.4733 0.8324 0.3634
O 0.0267 0.6366 0.1676
O 0.5267 0.1676 0.6366
O 0.9733 0.3634 0.8324
O 0.0520 0.6763 0.5684
O 0.4480 0.4316 0.3237
O 0.9480 0.3237 0.4316
O 0.5520 0.5684 0.6763


[2]
An optimized crystal structure of FeSiAsBr2, computed with GGA-PBE.

Output
Space group   P4/mmm
Uncorrected formation energy   0.662 eV/atom
D(E_F)   1.30 states/eV/atom
Energy above the lowest structure with this stoichiometry   0 meV/atom
VASP energy   -18.6 eV per cell
Magnetization   0.05 μB per atom

Cell lengths 4.9768, 4.9768, 4.4802 Å; angles 90.00, 90.00, 90.00 degrees
Fractional coordinates of all 5 atoms:
As 0.0000 0.0000 0.5000
Si 0.5000 0.5000 0.5000
Fe 0.0000 0.0000 0.0000
Br 0.0000 0.5000 0.0000
Br 0.5000 0.0000 0.0000


[3]
An optimized crystal structure of VGaSbI2, computed with GGA-PBE.

Output
Space group   P4/mmm
Uncorrected formation energy   0.177 eV/atom
D(E_F)   0.73 states/eV/atom
Energy above the lowest structure with this stoichiometry   0 meV/atom
VASP energy   -18.5 eV per cell
Magnetization   0.32 μB per atom

Cell lengths 5.6389, 5.6389, 5.2371 Å; angles 90.00, 90.00, 90.00 degrees
Fractional coordinates of all 5 atoms:
I 0.0000 0.5000 0.0000
I 0.5000 0.0000 0.0000
Sb 0.0000 0.0000 0.5000
Ga 0.5000 0.5000 0.5000
V 0.0000 0.0000 0.0000